A plane-wave DFT calculation with GGA-PBE was carried out for an optimized crystal structure of TlSbP2.

```
TlSbP2
1.0
-1.090 -0.889 3.354
3.650 -1.178 0.874
1.554 6.460 2.217
P Sb Tl
2 1 1
Direct
0.000 0.000 0.026
0.500 0.500 0.264
0.000 0.000 0.387
0.500 0.500 0.823
```

Values from the calculation:
Crystal system   orthorhombic
Relative energy among the computed polymorphs   101 kJ/mol of formula units